Material: Er5Ge
Method: DFT, PBE
State: relaxed

The value obtained for the formation energy from the elements is -0.190 eV per atom.

The structure belongs to space group Cmmm (No. 65); the cell edges are 4.6669, 14.5685 and 4.7542 Å and the angles 90.00°, 90.00° and 90.00°. The asymmetric unit holds Er at (0.0000, 0.0000, 0.0000), Er at (0.0000, 0.1582, 0.5000), Er at (0.0000, 0.3339, 0.0000) and Ge at (0.0000, 0.5000, 0.5000).